## ReBiSb3 (SCAN)

Data for ReBiSb3 at its PBEsol-relaxed geometry.

Uncorrected energy = -50.1242 eV per atom

Lattice parameters (Å, degrees): 5.6503 5.6503 5.6503 90.00 90.00 90.00
Fractional positions:
1 Sb 0.5000 0.0000 0.0000
2 Bi 0.0000 0.0000 0.0000
3 Re 0.5000 0.5000 0.5000
4 Sb 0.0000 0.0000 0.5000
5 Sb 0.0000 0.5000 0.0000

---

## YReBi2Sb (SCAN)

Data for YReBi2Sb at its PBEsol-relaxed geometry.

Uncorrected energy = -57.5652 eV per atom

Lattice parameters (Å, degrees): 4.8339 5.6771 5.6771 90.00 90.00 90.00
Fractional positions:
1 Re 0.5000 0.0000 0.0000
2 Bi 0.0000 0.0000 0.5000
3 Bi 0.0000 0.5000 0.0000
4 Sb 0.0000 0.0000 0.0000
5 Y 0.5000 0.5000 0.5000

---

## ScReBi2 (SCAN)

Data for ScReBi2 at its PBEsol-relaxed geometry.

Formation energy = 0.28 eV per atom

Lattice parameters (Å, degrees): 4.8951 4.8951 4.8951 60.00 60.00 60.00
Fractional positions:
1 Bi 0.2500 0.2500 0.2500
2 Sc 0.0000 0.0000 0.0000
3 Bi 0.7500 0.7500 0.7500
4 Re 0.5000 0.5000 0.5000

---

## ScReBi3 (SCAN)

Data for ScReBi3 at its PBEsol-relaxed geometry.

Formation energy = 0.88 eV per atom

Lattice parameters (Å, degrees): 5.2935 5.2935 5.2935 90.00 90.00 90.00
Fractional positions:
1 Re 0.0000 0.0000 0.0000
2 Bi 0.0000 0.5000 0.0000
3 Sc 0.5000 0.5000 0.5000
4 Bi 0.0000 0.0000 0.5000
5 Bi 0.5000 0.0000 0.0000

---

## Re2Bi2Se (SCAN)

Data for Re2Bi2Se at its PBEsol-relaxed geometry.

Uncorrected energy = -63.3407 eV per atom

Lattice parameters (Å, degrees): 3.6001 3.6001 8.9614 101.59 101.59 90.00
Fractional positions:
1 Bi 0.3894 0.3894 0.7788
2 Re 0.2500 0.7500 0.5000
3 Re 0.7500 0.2500 0.5000
4 Bi 0.6106 0.6106 0.2212
5 Se 0.0000 0.0000 0.0000

---

## Re3SnBi (SCAN)

Data for Re3SnBi at its PBEsol-relaxed geometry.

Formation energy = 3.12 eV per atom

Lattice parameters (Å, degrees): 4.9548 4.9548 4.9548 90.00 90.00 90.00
Fractional positions:
1 Re 0.0000 0.5000 0.0000
2 Bi 0.0000 0.0000 0.0000
3 Re 0.5000 0.0000 0.0000
4 Sn 0.5000 0.5000 0.5000
5 Re 0.0000 0.0000 0.5000

---

## Re2SnBi (SCAN)

Data for Re2SnBi at its PBEsol-relaxed geometry.

Formation energy = 1.05 eV per atom

Lattice parameters (Å, degrees): 4.6578 4.6578 4.6578 60.00 60.00 60.00
Fractional positions:
1 Re 0.7500 0.7500 0.7500
2 Sn 0.0000 0.0000 0.0000
3 Bi 0.5000 0.5000 0.5000
4 Re 0.2500 0.2500 0.2500

---

## ReSn3Bi (SCAN)

Data for ReSn3Bi at its PBEsol-relaxed geometry.

Formation energy = 2.10 eV per atom

Lattice parameters (Å, degrees): 5.6284 5.6284 5.6284 90.00 90.00 90.00
Fractional positions:
1 Sn 0.0000 0.0000 0.5000
2 Sn 0.0000 0.5000 0.0000
3 Bi 0.0000 0.0000 0.0000
4 Sn 0.5000 0.0000 0.0000
5 Re 0.5000 0.5000 0.5000